(1)
First-principles (PBE) data for a relaxed structure of Tb5Sm4Er3, as listed in Alexandria.

E_form in eV per atom: 0.230
Raw total energy in eV for the cell shown: -52.95

Unit cell a=5.903 b=8.583 c=9.656 alpha=105.82 beta=72.20 gamma=69.88
Element x y z (fractional)
1 Tb 0.630 0.943 0.798
2 Tb 0.500 0.500 0.500
3 Tb 0.214 0.459 0.114
4 Tb 0.786 0.541 0.886
5 Tb 0.370 0.057 0.202
6 Sm 0.861 0.222 0.057
7 Sm 0.164 0.051 0.620
8 Sm 0.836 0.949 0.380
9 Sm 0.139 0.778 0.943
10 Er 0.522 0.688 0.267
11 Er 0.000 0.500 0.500
12 Er 0.478 0.312 0.733


(2)
First-principles (PBE) data for a relaxed structure of Tb3Sm4Er8, as listed in Alexandria.

E_form in eV per atom: 0.129
Raw total energy in eV for the cell shown: -67.34
Offset from the most stable computed form in eV/atom: 0.0000

Unit cell a=6.922 b=6.922 c=12.393 alpha=73.78 beta=73.78 gamma=60.00
Element x y z (fractional)
1 Tb 0.500 0.000 0.500
2 Tb 0.000 0.000 0.500
3 Tb 0.000 0.500 0.500
4 Sm 0.000 0.000 0.000
5 Sm 0.337 0.337 0.990
6 Sm 0.500 0.500 0.500
7 Sm 0.663 0.663 0.010
8 Er 0.245 0.245 0.265
9 Er 0.248 0.750 0.252
10 Er 0.750 0.750 0.252
11 Er 0.750 0.248 0.252
12 Er 0.755 0.755 0.735
13 Er 0.752 0.250 0.748
14 Er 0.250 0.250 0.748
15 Er 0.250 0.752 0.748


(3)
First-principles (PBE) data for a relaxed structure of TbSm12Er7, as listed in Alexandria.

E_form in eV per atom: 0.162
Raw total energy in eV for the cell shown: -89.96
Offset from the most stable computed form in eV/atom: 0.0000

Unit cell a=9.344 b=9.344 c=9.344 alpha=107.90 beta=107.90 gamma=107.90
Element x y z (fractional)
1 Tb 0.000 0.000 0.000
2 Sm 0.779 0.328 0.622
3 Sm 0.672 0.378 0.221
4 Sm 0.407 0.052 0.297
5 Sm 0.948 0.703 0.593
6 Sm 0.378 0.221 0.672
7 Sm 0.703 0.593 0.948
8 Sm 0.297 0.407 0.052
9 Sm 0.622 0.779 0.328
10 Sm 0.052 0.297 0.407
11 Sm 0.593 0.948 0.703
12 Sm 0.328 0.622 0.779
13 Sm 0.221 0.672 0.378
14 Er 0.104 0.681 0.992
15 Er 0.319 0.008 0.896
16 Er 0.008 0.896 0.319
17 Er 0.500 0.500 0.500
18 Er 0.992 0.104 0.681
19 Er 0.681 0.992 0.104
20 Er 0.896 0.319 0.008


Among the records above, which one has the lowest E_form? Tb3Sm4Er8